Record 1
PrZrS2 | GGA-PBE | relaxed

Summary:
E above lowest polymorph ... 540 meV/atom
D(E_F) ... 3.834 states/eV/f.u.
E_form (uncorrected) ... -1.10 eV per atom

abc: 3.9444 3.9444 24.9810
angles: 90.00 90.00 120.00
Last column: nearest neighbours and their distance in Å.
Space group R-3m (No. 166, hexagonal axes)
Inequivalent atoms, fractional coordinates:
Pr (0.0000, 0.0000, 0.0000) [3 per cell]  6 S 2.83
Zr (0.0000, 0.0000, 0.5000) [3 per cell]  2 S 2.48
S (0.0000, 0.0000, 0.4006) [6 per cell]  1 Zr 2.48

---

Record 2
PrZr4S8 | GGA-PBE | relaxed

Summary:
D(E_F) ... 5.965 states/eV/f.u.
E_form (uncorrected) ... -1.68 eV per atom

abc: 7.3133 7.3133 20.2594
angles: 90.00 90.00 120.00
Last column: nearest neighbours and their distance in Å.
Space group R-3m (No. 166, hexagonal axes)
Inequivalent atoms, fractional coordinates:
Pr (0.0000, 0.0000, 0.0000) [3 per cell]  6 S 2.82
Zr (0.0000, 0.0000, 0.5000) [3 per cell]  6 S 2.59
Zr (0.0000, 0.5000, 0.5000) [9 per cell]  6 S 2.57-2.63
S (0.0000, 0.0000, 0.2394) [6 per cell]  3 Zr 2.57
S (0.0059, 0.5030, 0.2429) [18 per cell]  3 Zr 2.59-2.63, 1 Pr 2.82

---

Record 3
Pr2Zr2S7 | GGA-PBE | relaxed

Summary:
D(E_F) ... 0.220 states/eV/f.u.
E_form (uncorrected) ... -1.69 eV per atom

abc: 3.8960 13.9104 8.6293
angles: 90.00 90.00 90.00
Last column: nearest neighbours and their distance in Å.
Space group Imm2 (No. 44)
Inequivalent atoms, fractional coordinates:
Pr (0.0000, 0.2274, 0.0000) [4 per cell]  5 S 2.74-3.05
Zr (0.0000, 0.0000, 0.2711) [2 per cell]  6 S 2.62-2.64
Zr (0.0000, 0.5000, 0.2038) [2 per cell]  8 S 2.59-2.86
S (0.0000, 0.0000, 0.9210) [2 per cell]  3 Zr 2.70-3.02
S (0.0000, 0.1023, 0.5258) [4 per cell]  3 Zr 2.62-2.86, 1 S 2.85
S (0.0000, 0.3219, 0.2913) [4 per cell]  1 Zr 2.59, 3 Pr 2.74-2.84
S (0.0000, 0.3767, 0.7146) [4 per cell]  2 Zr 2.64

---

Record 4
Pr5Sb | GGA-PBE | relaxed

Summary:
D(E_F) ... 7.416 states/eV/f.u.
E_form (uncorrected) ... -0.33 eV per atom

abc: 4.9638 15.8321 5.0028
angles: 90.00 90.00 90.00
Last column: nearest neighbours and their distance in Å.
Space group Cmmm (No. 65)
Inequivalent atoms, fractional coordinates:
Pr (0.0000, 0.0000, 0.0000) [2 per cell]  8 Pr 3.52-3.54, 4 Sb 3.52
Pr (0.0000, 0.1565, 0.5000) [4 per cell]  2 Sb 3.51, 10 Pr 3.52-3.86
Pr (0.0000, 0.3402, 0.0000) [4 per cell]  10 Pr 3.52-3.84, 2 Sb 3.56
Sb (0.0000, 0.5000, 0.5000) [2 per cell]  12 Pr 3.51-3.56

---

Number 1: E_tot -25.96 eV/f.u.. Number 2: E_tot -93.78 eV/f.u.. Number 3: E_tot -74.09 eV/f.u.. Number 4: E_tot -29.98 eV/f.u..